[1]
{"formula": "CoC3", "functional": "PBE", "state": "relaxed", "crystal_system": "monoclinic", "dos_ef_per_ev_cell": 1.78, "relative_energy_mev_per_atom": 1162, "volume_a3_per_atom": 7.42, "formation_energy_ev_per_fu": 7.1, "lattice": [[2.934, 0.000, 0.000], [0.000, 2.405, 0.000], [-0.853, 0.000, 4.205]], "species": ["Co", "C", "C", "C"], "fractional_positions": [[0.000, 0.000, 0.000], [0.461, 0.500, 0.731], [0.500, 0.000, 0.500], [0.539, 0.500, 0.269]]}

[2]
{"formula": "Th4PSe3", "functional": "PBE", "state": "relaxed", "crystal_system": "monoclinic", "dos_ef_per_ev_cell": 8.98, "volume_a3_per_atom": 26.00, "e_form_raw_ev_per_atom": -1.58, "lattice": [[7.234, 0.000, 0.000], [0.000, 8.532, 0.000], [-2.501, 0.000, 6.741]], "species": ["Th", "Th", "Th", "Th", "Th", "Th", "Th", "Th", "P", "P", "Se", "Se", "Se", "Se", "Se", "Se"], "fractional_positions": [[0.237, 0.118, 0.001], [0.237, 0.882, 0.501], [0.243, 0.368, 0.492], [0.243, 0.632, 0.992], [0.757, 0.368, 0.008], [0.757, 0.632, 0.508], [0.763, 0.118, 0.499], [0.763, 0.882, 0.999], [0.000, 0.124, 0.250], [0.000, 0.876, 0.750], [0.000, 0.375, 0.750], [0.000, 0.625, 0.250], [0.500, 0.125, 0.750], [0.500, 0.376, 0.250], [0.500, 0.624, 0.750], [0.500, 0.875, 0.250]]}

[3]
{"formula": "PuPN", "functional": "PBE", "state": "relaxed", "crystal_system": "tetragonal", "dos_ef_per_ev_cell": 9.76, "relative_energy_mev_per_atom": 674, "volume_a3_per_atom": 15.05, "e_form_raw_ev_per_atom": -0.30, "lattice": [[-1.871, 1.871, 6.447], [1.871, -1.871, 6.447], [1.871, 1.871, -6.447]], "species": ["Pu", "Pu", "P", "P", "N", "N"], "fractional_positions": [[0.111, 0.111, 0.000], [0.889, 0.889, 0.000], [0.324, 0.324, 0.000], [0.676, 0.676, 0.000], [0.000, 0.500, 0.500], [0.500, 0.000, 0.500]]}

[4]
{"formula": "KHF2", "functional": "PBE", "state": "relaxed", "crystal_system": "cubic", "dos_ef_per_ev_cell": 0.29, "volume_a3_per_atom": 13.26, "total_energy_ev_per_atom": -2.941, "lattice": [[0.000, 2.982, 2.982], [2.982, 0.000, 2.982], [2.982, 2.982, 0.000]], "species": ["K", "H", "F", "F"], "fractional_positions": [[0.000, 0.000, 0.000], [0.500, 0.500, 0.500], [0.250, 0.250, 0.250], [0.750, 0.750, 0.750]]}

[5]
{"formula": "Tb4Dy3TmSe8", "functional": "PBE", "state": "relaxed", "crystal_system": "trigonal", "dos_ef_per_ev_cell": 10.47, "volume_a3_per_atom": 23.99, "e_form_raw_ev_per_atom": -1.74, "lattice": [[4.075, 2.353, 6.673], [-4.075, 2.353, 6.673], [0.000, -4.705, 6.673]], "species": ["Tb", "Tb", "Tb", "Tb", "Dy", "Dy", "Dy", "Tm", "Se", "Se", "Se", "Se", "Se", "Se", "Se", "Se"], "fractional_positions": [[0.000, 0.000, 0.000], [0.000, 0.500, 0.500], [0.500, 0.000, 0.500], [0.500, 0.500, 0.000], [0.000, 0.000, 0.500], [0.000, 0.500, 0.000], [0.500, 0.000, 0.000], [0.500, 0.500, 0.500], [0.249, 0.249, 0.249], [0.251, 0.747, 0.747], [0.253, 0.253, 0.749], [0.253, 0.749, 0.253], [0.747, 0.251, 0.747], [0.747, 0.747, 0.251], [0.749, 0.253, 0.253], [0.751, 0.751, 0.751]]}

[6]
{"formula": "SrLiSiP2", "functional": "PBE", "state": "relaxed", "crystal_system": "orthorhombic", "dos_ef_per_ev_cell": 5.13, "volume_a3_per_atom": 20.52, "e_form_raw_ev_per_atom": -0.41, "lattice": [[2.905, -6.314, 0.000], [2.905, 6.314, 0.000], [0.000, 0.000, 5.593]], "species": ["Sr", "Sr", "Li", "Li", "Si", "Si", "P", "P", "P", "P"], "fractional_positions": [[0.250, 0.750, 0.756], [0.750, 0.250, 0.244], [0.250, 0.250, 0.500], [0.750, 0.750, 0.500], [0.000, 0.000, 0.000], [0.500, 0.500, 0.000], [0.134, 0.866, 0.251], [0.366, 0.634, 0.251], [0.634, 0.366, 0.749], [0.866, 0.134, 0.749]]}

[7]
{"formula": "K4Er3TmTe8", "functional": "PBE", "state": "relaxed", "crystal_system": "trigonal", "volume_a3_per_atom": 35.53, "e_form_raw_ev_per_atom": -1.38, "lattice": [[4.463, 2.577, 8.237], [-4.463, 2.577, 8.237], [0.000, -5.154, 8.237]], "species": ["K", "K", "K", "K", "Er", "Er", "Er", "Tm", "Te", "Te", "Te", "Te", "Te", "Te", "Te", "Te"], "fractional_positions": [[0.000, 0.000, 0.000], [0.000, 0.500, 0.500], [0.500, 0.000, 0.500], [0.500, 0.500, 0.000], [0.000, 0.000, 0.500], [0.000, 0.500, 0.000], [0.500, 0.000, 0.000], [0.500, 0.500, 0.500], [0.236, 0.236, 0.236], [0.236, 0.735, 0.735], [0.265, 0.265, 0.764], [0.265, 0.764, 0.265], [0.735, 0.236, 0.735], [0.735, 0.735, 0.236], [0.764, 0.265, 0.265], [0.764, 0.764, 0.764]]}

[8]
{"formula": "Pm3SbS6", "functional": "PBE", "state": "relaxed", "crystal_system": "orthorhombic", "volume_a3_per_atom": 25.74, "e_form_raw_ev_per_atom": -1.58, "lattice": [[5.435, -6.827, 0.000], [5.435, 6.827, 0.000], [0.000, 0.000, 6.937]], "species": ["Pm", "Pm", "Pm", "Pm", "Pm", "Pm", "Sb", "Sb", "S", "S", "S", "S", "S", "S", "S", "S", "S", "S", "S", "S"], "fractional_positions": [[0.097, 0.903, 0.500], [0.214, 0.416, 0.592], [0.416, 0.214, 0.092], [0.584, 0.786, 0.592], [0.786, 0.584, 0.092], [0.903, 0.097, 0.000], [0.323, 0.677, 0.111], [0.677, 0.323, 0.611], [0.072, 0.598, 0.301], [0.137, 0.192, 0.294], [0.192, 0.137, 0.794], [0.269, 0.731, 0.736], [0.402, 0.928, 0.301], [0.489, 0.511, 0.352], [0.511, 0.489, 0.852], [0.598, 0.072, 0.801], [0.731, 0.269, 0.236], [0.808, 0.863, 0.294], [0.863, 0.808, 0.794], [0.928, 0.402, 0.801]]}

[9]
{"formula": "Zn5Tc", "functional": "PBE", "state": "relaxed", "crystal_system": "orthorhombic", "dos_ef_per_ev_cell": 2.37, "relative_energy_mev_per_atom": 58, "volume_a3_per_atom": 14.59, "formation_energy_ev_per_fu": 0.2, "lattice": [[4.519, 0.000, 0.000], [0.000, 1.348, 7.187], [0.000, -1.348, 7.187]], "species": ["Zn", "Zn", "Zn", "Zn", "Zn", "Tc"], "fractional_positions": [[0.000, 0.000, 0.000], [0.000, 0.329, 0.329], [0.500, 0.218, 0.218], [0.500, 0.556, 0.556], [0.500, 0.887, 0.887], [0.000, 0.663, 0.663]]}

[10]
{"formula": "In12Hg2Bi7", "functional": "PBE", "state": "relaxed", "crystal_system": "hexagonal", "dos_ef_per_ev_cell": 6.54, "volume_a3_per_atom": 30.02, "formation_energy_ev_per_fu": 0.7, "lattice": [[14.528, 0.000, 0.000], [-7.264, 12.581, 0.000], [0.000, 0.000, 3.449]], "species": ["In", "In", "In", "In", "In", "In", "In", "In", "In", "In", "In", "In", "Hg", "Hg", "Bi", "Bi", "Bi", "Bi", "Bi", "Bi", "Bi"], "fractional_positions": [[0.042, 0.229, 0.000], [0.141, 0.704, 0.500], [0.187, 0.958, 0.000], [0.296, 0.438, 0.500], [0.416, 0.157, 0.500], [0.507, 0.411, 0.000], [0.562, 0.859, 0.500], [0.589, 0.096, 0.000], [0.741, 0.584, 0.500], [0.771, 0.813, 0.000], [0.843, 0.259, 0.500], [0.904, 0.493, 0.000], [0.000, 0.000, 0.500], [0.333, 0.667, 0.000], [0.084, 0.455, 0.500], [0.258, 0.215, 0.000], [0.370, 0.916, 0.500], [0.545, 0.630, 0.500], [0.667, 0.333, 0.500], [0.785, 0.043, 0.000], [0.957, 0.742, 0.000]]}

[11]
{"formula": "CsAc2Ru", "functional": "PBE", "state": "relaxed", "crystal_system": "trigonal", "dos_ef_per_ev_cell": 3.18, "relative_energy_mev_per_atom": 0, "volume_a3_per_atom": 49.67, "formation_energy_ev_per_fu": -0.1, "lattice": [[2.187, 1.262, 11.996], [-2.187, 1.262, 11.996], [0.000, -2.525, 11.996]], "species": ["Cs", "Ac", "Ac", "Ru"], "fractional_positions": [[0.000, 0.000, 0.000], [0.124, 0.124, 0.124], [0.876, 0.876, 0.876], [0.500, 0.500, 0.500]]}

[12]
{"formula": "Nb3SiPb", "functional": "PBE", "state": "relaxed", "crystal_system": "cubic", "dos_ef_per_ev_cell": 9.59, "relative_energy_mev_per_atom": 1610, "volume_a3_per_atom": 26.74, "e_form_raw_ev_per_atom": 2.17, "lattice": [[5.114, 0.000, 0.000], [0.000, 5.114, 0.000], [0.000, 0.000, 5.114]], "species": ["Nb", "Nb", "Nb", "Si", "Pb"], "fractional_positions": [[0.000, 0.000, 0.500], [0.000, 0.500, 0.000], [0.500, 0.000, 0.000], [0.500, 0.500, 0.500], [0.000, 0.000, 0.000]]}

[13]
{"formula": "Y2CdPt", "functional": "PBE", "state": "relaxed", "crystal_system": "monoclinic", "dos_ef_per_ev_cell": 2.38, "volume_a3_per_atom": 23.90, "formation_energy_ev_per_fu": -3.2, "lattice": [[3.576, 0.000, 0.000], [0.000, 3.576, 0.000], [-0.009, 0.000, 7.477]], "species": ["Y", "Y", "Cd", "Pt"], "fractional_positions": [[0.000, 0.000, 0.223], [0.000, 0.000, 0.777], [0.500, 0.500, 0.500], [0.500, 0.500, 0.000]]}

[14]
{"formula": "K3Rb3BeF8", "functional": "PBE", "state": "relaxed", "crystal_system": "monoclinic", "dos_ef_per_ev_cell": 0.00, "volume_a3_per_atom": 20.14, "e_form_raw_ev_per_atom": -2.71, "lattice": [[6.449, -3.721, 0.000], [6.449, 3.721, 0.000], [-4.301, 0.000, 6.296]], "species": ["K", "K", "K", "Rb", "Rb", "Rb", "Be", "F", "F", "F", "F", "F", "F", "F", "F"], "fractional_positions": [[0.000, 0.000, 0.000], [0.000, 0.500, 0.000], [0.500, 0.000, 0.000], [0.000, 0.500, 0.500], [0.500, 0.000, 0.500], [0.500, 0.500, 0.500], [0.500, 0.500, 0.000], [0.244, 0.244, 0.233], [0.319, 0.676, 0.170], [0.322, 0.322, 0.828], [0.324, 0.681, 0.830], [0.676, 0.319, 0.170], [0.678, 0.678, 0.172], [0.681, 0.324, 0.830], [0.756, 0.756, 0.767]]}

[15]
{"formula": "Ho2Er2Sc15", "functional": "PBE", "state": "relaxed", "crystal_system": "trigonal", "dos_ef_per_ev_cell": 37.37, "volume_a3_per_atom": 27.06, "formation_energy_ev_per_fu": 4.7, "lattice": [[5.247, 3.029, 5.390], [-5.247, 3.029, 5.390], [0.000, -6.059, 5.390]], "species": ["Ho", "Ho", "Er", "Er", "Sc", "Sc", "Sc", "Sc", "Sc", "Sc", "Sc", "Sc", "Sc", "Sc", "Sc", "Sc", "Sc", "Sc", "Sc"], "fractional_positions": [[0.110, 0.110, 0.110], [0.890, 0.890, 0.890], [0.332, 0.332, 0.332], [0.668, 0.668, 0.668], [0.000, 0.000, 0.500], [0.000, 0.303, 0.697], [0.000, 0.500, 0.000], [0.000, 0.697, 0.303], [0.153, 0.633, 0.633], [0.303, 0.000, 0.697], [0.303, 0.697, 0.000], [0.367, 0.367, 0.847], [0.367, 0.847, 0.367], [0.500, 0.000, 0.000], [0.633, 0.153, 0.633], [0.633, 0.633, 0.153], [0.697, 0.000, 0.303], [0.697, 0.303, 0.000], [0.847, 0.367, 0.367]]}

[16]
{"formula": "Pr3Sn4Rh2", "functional": "PBE", "state": "relaxed", "crystal_system": "monoclinic", "dos_ef_per_ev_cell": 5.45, "volume_a3_per_atom": 25.57, "formation_energy_ev_per_fu": -6.9, "lattice": [[5.821, -2.328, 0.000], [5.821, 2.328, 0.000], [-2.660, 0.000, 8.492]], "species": ["Pr", "Pr", "Pr", "Sn", "Sn", "Sn", "Sn", "Rh", "Rh"], "fractional_positions": [[0.000, 0.000, 0.000], [0.371, 0.371, 0.312], [0.629, 0.629, 0.688], [0.090, 0.090, 0.393], [0.293, 0.293, 0.920], [0.707, 0.707, 0.080], [0.910, 0.910, 0.607], [0.305, 0.305, 0.621], [0.695, 0.695, 0.379]]}

[17]
{"formula": "GdCuHg2", "functional": "PBE", "state": "relaxed", "crystal_system": "tetragonal", "dos_ef_per_ev_cell": 2.41, "volume_a3_per_atom": 21.51, "formation_energy_ev_per_fu": -0.7, "lattice": [[3.437, 0.000, 0.000], [0.000, 3.437, 0.000], [0.000, 0.000, 7.286]], "species": ["Gd", "Cu", "Hg", "Hg"], "fractional_positions": [[0.000, 0.000, 0.000], [0.000, 0.000, 0.500], [0.500, 0.500, 0.290], [0.500, 0.500, 0.710]]}

[18]
{"formula": "YBe2Pd2Pt", "functional": "PBE", "state": "relaxed", "crystal_system": "tetragonal", "dos_ef_per_ev_cell": 1.55, "volume_a3_per_atom": 16.54, "formation_energy_ev_per_fu": -3.4, "lattice": [[4.224, 0.000, 0.000], [0.000, 4.224, 0.000], [0.000, 0.000, 5.561]], "species": ["Y", "Be", "Be", "Pd", "Pd", "Pt"], "fractional_positions": [[0.000, 0.000, 0.000], [0.000, 0.500, 0.500], [0.500, 0.000, 0.500], [0.500, 0.500, 0.252], [0.500, 0.500, 0.748], [0.000, 0.000, 0.500]]}

[19]
{"formula": "NaAc2H6Rh2", "functional": "PBE", "state": "relaxed", "crystal_system": "trigonal", "dos_ef_per_ev_cell": 4.63, "volume_a3_per_atom": 13.62, "total_energy_ev_per_atom": -4.413, "lattice": [[2.620, 1.513, 6.300], [-2.620, 1.513, 6.300], [0.000, -3.026, 6.300]], "species": ["Na", "Ac", "Ac", "H", "H", "H", "H", "H", "H", "Rh", "Rh"], "fractional_positions": [[0.000, 0.000, 0.000], [0.228, 0.228, 0.228], [0.772, 0.772, 0.772], [0.246, 0.731, 0.731], [0.269, 0.269, 0.754], [0.269, 0.754, 0.269], [0.731, 0.246, 0.731], [0.731, 0.731, 0.246], [0.754, 0.269, 0.269], [0.382, 0.382, 0.382], [0.618, 0.618, 0.618]]}

[20]
{"formula": "VAs2HBr", "functional": "PBE", "state": "relaxed", "crystal_system": "tetragonal", "dos_ef_per_ev_cell": 3.88, "relative_energy_mev_per_atom": 0, "volume_a3_per_atom": 17.19, "lattice": [[3.942, 0.000, 0.000], [0.000, 3.942, 0.000], [0.000, 0.000, 5.531]], "species": ["V", "As", "As", "H", "Br"], "fractional_positions": [[0.000, 0.000, 0.000], [0.000, 0.500, 0.500], [0.500, 0.000, 0.500], [0.500, 0.500, 0.500], [0.500, 0.500, 0.000]]}